VASP calculation (PBE-GGA) on crystalline LaIn3Cu at its relaxed geometry.

Its crystal system is cubic. Its total magnetization is 0.0 μB/f.u. The formation energy comes out at -0.139 eV/atom. For the mass density, the calculation gives 6.920 Mg/m³. The energy above the most stable polymorph in this dataset is 230.1 meV per atom.

The structure belongs to space group Pm-3m (No. 221); the cell edges are 5.082, 5.082 and 5.082 Å and the angles 90.00°, 90.00° and 90.00°. The inequivalent atoms are La at (0.000, 0.000, 0.000), In at (0.000, 0.500, 0.500) and Cu at (0.500, 0.500, 0.500).